# 1
Here is a relaxed structure of ZrAlTe4 from Alexandria. Energies are from PBE.

Cell and atoms, written as extended XYZ:
```
6
Lattice="0.0000 4.4137 4.4137 4.4137 0.0000 4.4137 4.4137 4.4137 0.0000" Properties=species:S:1:pos:R:3 pbc="T T T"
Zr 0.0000 0.0000 0.0000
Al 6.6205 6.6205 6.6205
Te 3.3044 3.3044 3.3044
Te 5.5229 5.5229 3.3044
Te 5.5229 3.3044 5.5229
Te 3.3044 5.5229 5.5229
```

Calculated values
- space-group type = F-43m
- formation energy from raw total energies (meV per atom) = 617
- total magnetization (Bohr magnetons per cell) = 1.73
- VASP energy (eV/cell) = -21.15

=====

# 2
Here is a relaxed structure of TiCrTe2I from Alexandria. Energies are from PBE.

Cell and atoms, written as extended XYZ:
```
5
Lattice="5.2501 0.0000 0.0000 0.0000 5.2501 0.0000 0.0000 0.0000 5.4536" Properties=species:S:1:pos:R:3 pbc="T T T"
Ti 0.0000 0.0000 0.0000
Cr 2.6250 2.6250 2.7268
Te 0.0000 2.6250 2.7268
Te 2.6250 0.0000 2.7268
I 2.6250 2.6250 0.0000
```

Calculated values
- space-group type = P4/mmm
- formation energy from raw total energies (meV per atom) = 448
- total magnetization (Bohr magnetons per cell) = 5.36
- VASP energy (eV/cell) = -23.11

=====

# 3
Here is a relaxed structure of ZnFe2P from Alexandria. Energies are from PBE.

Cell and atoms, written as extended XYZ:
```
8
Lattice="4.0477 0.0000 0.0000 0.0000 2.7793 0.0000 0.0000 0.0000 8.8512" Properties=species:S:1:pos:R:3 pbc="T T T"
Zn 0.0000 0.0000 0.0000
Zn 0.0000 1.3897 4.4256
Fe 0.0000 0.0000 2.3310
Fe 0.0000 1.3897 6.7566
Fe 2.0239 0.0000 5.6555
Fe 2.0239 1.3897 1.2299
P 2.0239 0.0000 3.1358
P 2.0239 1.3897 7.5614
```

Calculated values
- space-group type = Amm2
- DFT formation energy (eV/atom) = -0.005
- total magnetization (Bohr magnetons per cell) = 6.79
- VASP energy (eV/cell) = -47.26

=====

# 4
Here is a relaxed structure of Cs4TeSe from Alexandria. Energies are from PBE.

Cell and atoms, written as extended XYZ:
```
12
Lattice="5.8793 -8.0762 0.0000 5.8793 8.0762 0.0000 -5.3303 0.0000 7.3358" Properties=species:S:1:pos:R:3 pbc="T T T"
Cs -0.4826 5.4398 6.9956
Cs -0.5870 0.8103 5.4477
Cs 4.2457 5.4398 4.0082
Cs 2.0782 -0.8103 1.7797
Cs 4.3501 0.8103 5.5561
Cs 2.1826 -5.4398 3.3276
Cs 7.0153 -0.8103 1.8882
Cs 6.9109 -5.4398 0.3403
Te 4.5467 2.2087 1.8340
Te 1.8816 -2.2087 5.5019
Se 1.8816 7.7111 5.5019
Se 4.5467 -7.7111 1.8340
```

Calculated values
- space-group type = C2/c
- formation energy from raw total energies (meV per atom) = -999
- total magnetization (Bohr magnetons per cell) = 0.00
- VASP energy (eV/cell) = -32.06